w) The following is a PBE calculation of crystalline Li2CrNi at its relaxed geometry, from Alexandria.

Lattice parameters (Å, degrees): 3.768 2.418 6.035 65.85 90.00 90.00
Element x y z (fractional)
Cr  0.500  0.792  0.707
Li  0.000  0.994  0.006
Li  0.500  0.249  0.252
Ni  0.000  0.465  0.535

Output
As for the total magnetic moment: 0.000 μB/f.u.



x) The following is a PBE calculation of crystalline Li2CrNi at its relaxed geometry, from Alexandria.

Lattice parameters (Å, degrees): 4.258 4.258 5.087 86.38 86.38 32.69
Each line ends with the local moment (μB).
Element x y z (fractional)
Cr  0.244  0.244  0.296  0.47
Li  0.001  0.001  0.982  0.00
Li  0.758  0.758  0.761  0.00
Ni  0.497  0.497  0.461  0.00

Output
As for the total magnetic moment: 0.487 μB/f.u.



Short version: x) is the least stable of them.



w) The following is a PBE calculation of crystalline Li2CrNi at its relaxed geometry, from Alexandria.

Lattice parameters (Å, degrees): 2.417 2.417 8.940 90.00 90.00 113.65
Element x y z (fractional)
Cr  0.500  0.500  0.750
Li  0.000  0.000  0.014
Li  0.000  0.000  0.486
Ni  0.500  0.500  0.250

Output
As for the total magnetic moment: 0.009 μB/f.u.



x) The following is a PBE calculation of crystalline Li2CrNi at its relaxed geometry, from Alexandria.

Lattice parameters (Å, degrees): 4.959 4.959 4.959 138.46 138.46 60.20
Each line ends with the local moment (μB).
Element x y z (fractional)
Cr  0.750  0.250  0.500  3.13
Li  0.000  0.000  0.000  -0.02
Li  0.500  0.500  0.000  -0.02
Ni  0.250  0.750  0.500  0.23

Output
As for the total magnetic moment: 3.554 μB/f.u.



y) The following is a PBE calculation of crystalline Li2CrNi at its relaxed geometry, from Alexandria.

Lattice parameters (Å, degrees): 4.515 2.472 4.487 87.47 90.00 90.00
Each line ends with the local moment (μB).
Element x y z (fractional)
Cr  0.500  0.750  0.750  2.07
Li  0.000  0.018  0.010  -0.02
Li  0.000  0.482  0.490  -0.02
Ni  0.500  0.250  0.250  0.16

Output
As for the total magnetic moment: 2.355 μB/f.u.



z) The following is a PBE calculation of crystalline Li2CrNi at its relaxed geometry, from Alexandria.

Lattice parameters (Å, degrees): 4.311 3.533 3.533 90.00 90.00 90.00
Each line ends with the local moment (μB).
Element x y z (fractional)
Cr  0.500  0.000  0.500  3.20
Li  0.000  0.000  0.000  -0.01
Li  0.000  0.500  0.500  -0.01
Ni  0.500  0.500  0.000  0.28

Output
As for the total magnetic moment: 3.787 μB/f.u.



Short version: z) is the least stable of them.